Record 1
# CsBeAu3 GGA-PBE optimized geometry
# DOS at the Fermi energy, states/eV/f.u.: 1.68
# Formation enthalpy at 0 K, eV/atom: -0.16
data_CsBeAu3
_symmetry_space_group_name_H-M 'P 1'
_symmetry_Int_Tables_number 1
_cell_length_a 6.566
_cell_length_b 6.567
_cell_length_c 6.739
_cell_angle_alpha 91.71
_cell_angle_beta 91.45
_cell_angle_gamma 115.92
loop_
_symmetry_equiv_pos_as_xyz
'x,y,z'
loop_
_atom_site_label
_atom_site_type_symbol
_atom_site_fract_x
_atom_site_fract_y
_atom_site_fract_z
_atom_site_occupancy
Cs1 Cs 0.000 0.000 0.000 1
Cs2 Cs 0.341 0.659 0.001 1
Be1 Be 0.561 0.439 0.500 1
Be2 Be 0.775 0.225 0.498 1
Au1 Au 0.156 0.281 0.500 1
Au2 Au 0.383 0.011 0.498 1
Au3 Au 0.635 0.308 0.193 1
Au4 Au 0.692 0.365 0.806 1
Au5 Au 0.719 0.845 0.501 1
Au6 Au 0.989 0.617 0.502 1

Record 2
# CsBeAu2 GGA-PBE optimized geometry
# DOS at the Fermi energy, states/eV/f.u.: 1.22
# Formation enthalpy at 0 K, eV/atom: -0.07
data_CsBeAu2
_symmetry_space_group_name_H-M 'R -3 m'
_symmetry_Int_Tables_number 166
_symmetry_space_group_name_Hall '-R 3 2"'
_cell_length_a 4.4301
_cell_length_b 4.4301
_cell_length_c 19.7609
_cell_angle_alpha 90.00
_cell_angle_beta 90.00
_cell_angle_gamma 120.00
loop_
_atom_site_label
_atom_site_type_symbol
_atom_site_fract_x
_atom_site_fract_y
_atom_site_fract_z
_atom_site_occupancy
Cs1 Cs 0.0000 0.0000 0.0000 1
Be1 Be 0.0000 0.0000 0.5000 1
Au1 Au 0.0000 0.0000 0.1880 1

Record 3
# CsBeAu3 GGA-PBE optimized geometry
# DOS at the Fermi energy, states/eV/f.u.: 5.71
# Formation enthalpy at 0 K, eV/atom: 1.71
data_CsBeAu3
_symmetry_space_group_name_H-M 'P m -3 m'
_symmetry_Int_Tables_number 221
_symmetry_space_group_name_Hall '-P 4 2 3'
_cell_length_a 6.179
_cell_length_b 6.179
_cell_length_c 6.179
_cell_angle_alpha 90.00
_cell_angle_beta 90.00
_cell_angle_gamma 90.00
loop_
_atom_site_label
_atom_site_type_symbol
_atom_site_fract_x
_atom_site_fract_y
_atom_site_fract_z
_atom_site_occupancy
Cs1 Cs 0.000 0.000 0.000 1
Be1 Be 0.500 0.500 0.500 1
Au1 Au 0.000 0.000 0.500 1

Record 4
# Cs2BeAu GGA-PBE optimized geometry
# DOS at the Fermi energy, states/eV/f.u.: 4.59
# Formation enthalpy at 0 K, eV/atom: 0.61
data_Cs2BeAu
_symmetry_space_group_name_H-M 'I -4 2 d'
_symmetry_Int_Tables_number 122
_symmetry_space_group_name_Hall 'I -4 2bw'
_cell_length_a 9.808
_cell_length_b 9.808
_cell_length_c 8.159
_cell_angle_alpha 90.00
_cell_angle_beta 90.00
_cell_angle_gamma 90.00
loop_
_atom_site_label
_atom_site_type_symbol
_atom_site_fract_x
_atom_site_fract_y
_atom_site_fract_z
_atom_site_occupancy
Cs1 Cs 0.233 0.750 0.125 1
Be1 Be 0.000 0.000 0.500 1
Au1 Au 0.000 0.000 0.000 1

Record 5
# CsBeAu3 GGA-PBE optimized geometry
# DOS at the Fermi energy, states/eV/f.u.: 0.87
# Formation enthalpy at 0 K, eV/atom: 0.02
data_CsBeAu3
_symmetry_space_group_name_H-M 'P m -3 m'
_symmetry_Int_Tables_number 221
_symmetry_space_group_name_Hall '-P 4 2 3'
_cell_length_a 4.904
_cell_length_b 4.904
_cell_length_c 4.904
_cell_angle_alpha 90.00
_cell_angle_beta 90.00
_cell_angle_gamma 90.00
loop_
_atom_site_label
_atom_site_type_symbol
_atom_site_fract_x
_atom_site_fract_y
_atom_site_fract_z
_atom_site_occupancy
Cs1 Cs 0.000 0.000 0.000 1
Be1 Be 0.500 0.500 0.500 1
Au1 Au 0.000 0.500 0.500 1

Record 6
# Cs3BeAu GGA-PBE optimized geometry
# DOS at the Fermi energy, states/eV/f.u.: 8.09
# Formation enthalpy at 0 K, eV/atom: 0.47
data_Cs3BeAu
_symmetry_space_group_name_H-M 'P m -3 m'
_symmetry_Int_Tables_number 221
_symmetry_space_group_name_Hall '-P 4 2 3'
_cell_length_a 6.910
_cell_length_b 6.910
_cell_length_c 6.910
_cell_angle_alpha 90.00
_cell_angle_beta 90.00
_cell_angle_gamma 90.00
loop_
_atom_site_label
_atom_site_type_symbol
_atom_site_fract_x
_atom_site_fract_y
_atom_site_fract_z
_atom_site_occupancy
Cs1 Cs 0.000 0.000 0.500 1
Be1 Be 0.500 0.500 0.500 1
Au1 Au 0.000 0.000 0.000 1